DFT (PBE+U) results for an optimized crystal structure of RbV3Se2O12.

Unit cell a=7.163 b=7.163 c=12.085 alpha=90.00 beta=90.00 gamma=120.00
Fractional coordinates of all 36 atoms:
Rb 0.333 0.667 0.000
Rb 0.667 0.333 0.500
V 0.126 0.333 0.666
V 0.206 0.874 0.666
V 0.333 0.206 0.166
V 0.667 0.794 0.666
V 0.794 0.126 0.166
V 0.874 0.667 0.166
Se 0.000 0.000 0.382
Se 0.000 0.000 0.882
Se 0.333 0.667 0.448
Se 0.667 0.333 0.948
O 0.083 0.542 0.690
O 0.124 0.869 0.821
O 0.125 0.874 0.136
O 0.126 0.251 0.136
O 0.131 0.254 0.821
O 0.201 0.789 0.507
O 0.211 0.412 0.507
O 0.251 0.125 0.636
O 0.254 0.124 0.321
O 0.412 0.201 0.007
O 0.458 0.541 0.690
O 0.459 0.917 0.690
O 0.541 0.083 0.190
O 0.542 0.459 0.190
O 0.588 0.799 0.507
O 0.746 0.876 0.821
O 0.749 0.875 0.136
O 0.789 0.588 0.007
O 0.799 0.211 0.007
O 0.869 0.746 0.321
O 0.874 0.749 0.636
O 0.875 0.126 0.636
O 0.876 0.131 0.321
O 0.917 0.458 0.190

Values from the calculation:
The magnetization comes out at 0.000 μB/f.u. As for the theoretical density: 3.64 g/cm3. For the final energy, the calculation gives -6.506 eV per atom.